Record 1
DFT (PBE-GGA) results for a relaxed Cs2PrBSe4 crystal.

Calculated values
Total energy (eV per atom): -4.37
ΔE_f (raw) (eV/atom): -0.982
Space group: Fddd
Total moment (μB/f.u.): 0.00
D(E_F) (states/eV/cell): 0.000
Theoretical density (g cm⁻³): 3.83

Cell lengths 6.2599, 8.3162, 13.5612 Å; angles 85.02, 76.66, 67.89 degrees
Fractional positions:
Se: 0.2148 0.3283 0.4004
Cs: 0.5710 0.5000 0.8580
B: 0.5000 0.0000 0.0000
Se: 0.4569 0.3283 0.5996
B: 0.2500 0.5000 0.5000
Se: 0.3652 0.8283 0.0996
Pr: 0.7500 0.5000 0.5000
Se: 0.3848 0.6717 0.4004
Se: 0.5352 0.1717 0.0996
Cs: 0.9290 0.5000 0.1420
Se: 0.2931 0.1717 0.9004
Se: 0.9435 0.6717 0.5996
Cs: 0.1790 0.0000 0.6420
Se: 0.8065 0.8283 0.9004
Pr: 0.0000 0.0000 0.0000
Cs: 0.8210 0.0000 0.3580

***

Record 2
DFT (PBE-GGA) results for a relaxed Nd4SbTe2As crystal.

Calculated values
Total energy (eV per atom): -5.70
ΔE_f (raw) (eV/atom): -1.435
Space group: P2/m
Total moment (μB/f.u.): 0.00
D(E_F) (states/eV/cell): 3.890
Theoretical density (g cm⁻³): 6.82

Cell lengths 4.4280, 7.7889, 7.6948 Å; angles 70.84, 90.00, 90.00 degrees
Fractional positions:
Nd: 0.0000 0.2674 0.2556
Te: 0.0000 0.0000 0.0000
Nd: 0.0000 0.7326 0.7444
Te: 0.5000 0.0000 0.5000
As: 0.0000 0.5000 0.5000
Nd: 0.5000 0.2743 0.7316
Sb: 0.5000 0.5000 0.0000
Nd: 0.5000 0.7257 0.2684

***

Record 3
DFT (PBE-GGA) results for a relaxed EuPaC crystal.

Calculated values
Total energy (eV per atom): -9.46
Calculated formation energy (eV per atom): 0.2017
Space group: I4mm
Total moment (μB/f.u.): 7.52
D(E_F) (states/eV/cell): 2.784
Theoretical density (g cm⁻³): 10.07

Cell lengths 3.2277, 3.2277, 6.6545 Å; angles 104.04, 104.04, 90.00 degrees
Each line ends with the local moment (μB).
Fractional positions:
Eu: 0.9722 0.9722 0.9444  6.98
C: 0.2983 0.2983 0.5966  -0.03
Pa: 0.7295 0.7295 0.4590  0.21

***

Record 4
DFT (PBE-GGA) results for a relaxed YZn4Co crystal.

Calculated values
Total energy (eV per atom): -3.35
Calculated formation energy (eV per atom): -0.2353
Space group: Pmma
Total moment (μB/f.u.): 0.00
D(E_F) (states/eV/cell): 8.843
Theoretical density (g cm⁻³): 6.79

Cell lengths 3.9564, 6.7390, 7.5130 Å; angles 90.00, 90.00, 90.00 degrees
Fractional positions:
Zn: 0.0000 0.0000 0.5000
Y: 0.0000 0.6084 0.7500
Y: 0.0000 0.3916 0.2500
Co: 0.0000 0.7868 0.2500
Zn: 0.0000 0.0000 0.0000
Co: 0.0000 0.2132 0.7500
Zn: 0.5000 0.6937 0.0611
Zn: 0.5000 0.9592 0.7500
Zn: 0.5000 0.0408 0.2500
Zn: 0.5000 0.3063 0.9389
Zn: 0.5000 0.3063 0.5611
Zn: 0.5000 0.6937 0.4389

***

Record 5
DFT (PBE-GGA) results for a relaxed SrZn2HgF8 crystal.

Calculated values
Total energy (eV per atom): -4.11
ΔE_f (raw) (eV/atom): -2.488
Space group: I-4
Total moment (μB/f.u.): 0.00
D(E_F) (states/eV/cell): 0.000
Theoretical density (g cm⁻³): 5.46

Cell lengths 5.4745, 5.4745, 6.9723 Å; angles 113.12, 113.12, 90.00 degrees
Fractional positions:
Hg: 0.7500 0.2500 0.5000
F: 0.9893 0.4101 0.3312
F: 0.3419 0.9211 0.3312
Zn: 0.2500 0.7500 0.5000
Zn: 0.5000 0.5000 0.0000
F: 0.7531 0.8429 0.1738
F: 0.0789 0.0107 0.6688
F: 0.1571 0.5793 0.8262
Sr: 0.0000 0.0000 0.0000
F: 0.6691 0.2469 0.8262
F: 0.4207 0.3309 0.1738
F: 0.5899 0.6581 0.6688

***

Record 6
DFT (PBE-GGA) results for a relaxed In2SbTe2 crystal.

Calculated values
Total energy (eV per atom): -3.10
ΔE_f (raw) (eV/atom): 0.077
Space group: P4/mbm
Total moment (μB/f.u.): 0.00
D(E_F) (states/eV/cell): 6.112
Theoretical density (g cm⁻³): 6.99

Cell lengths 8.4148, 8.4148, 4.0696 Å; angles 90.00, 90.00, 90.00 degrees
Fractional positions:
In: 0.8469 0.6531 0.0000
Sb: 0.5000 0.5000 0.0000
Te: 0.1517 0.6517 0.5000
Sb: 0.0000 0.0000 0.0000
In: 0.6531 0.1531 0.0000
In: 0.3469 0.8469 0.0000
Te: 0.8483 0.3483 0.5000
Te: 0.6517 0.8483 0.5000
Te: 0.3483 0.1517 0.5000
In: 0.1531 0.3469 0.0000